{"formula": "CoRe2W", "functional": "meta-GGA SCAN", "state": "single point on PBEsol structure", "formation_enthalpy_0k_ev_per_atom": 0.1941, "relative_energy_mev_per_atom": 89.3, "lattice_angstrom": [[2.696, 0.000, 0.000], [0.000, 2.696, 0.000], [0.000, 0.000, 7.579]], "species": ["Co", "Re", "Re", "W"], "frac_coords": [[0.500, 0.500, 0.755], [0.000, 0.000, 0.986], [0.500, 0.500, 0.241], [0.000, 0.000, 0.518]]}